Entry 1:
MoBr2: relaxed, PBE-GGA.

Output
* E above lowest polymorph: 722 meV per atom
* E_form (uncorrected): 54.0 meV/atom
* D(E_F): 3.4 states/eV/cell

a = 6.1265 Å, b = 6.4274 Å, c = 3.6866 Å
α = 90.00°, β = 90.00°, γ = 90.00°
With the nearest neighbours (Å) after each atom.
Element x y z (fractional)
Mo1 0.0000 0.0000 0.0000  6 Br 2.63-2.65
Mo2 0.5000 0.5000 0.5000  6 Br 2.63-2.65
Br1 0.2453 0.3386 0.0000  3 Mo 2.63-2.65
Br2 0.2547 0.8386 0.5000  3 Mo 2.63-2.65
Br3 0.7453 0.1614 0.5000  3 Mo 2.63-2.65
Br4 0.7547 0.6614 0.0000  3 Mo 2.63-2.65

---

Entry 2:
Mo4Br: relaxed, PBE-GGA.

Output
* E above lowest polymorph: 0 meV per atom
* E_form (uncorrected): 818.0 meV/atom
* D(E_F): 7.1 states/eV/cell

a = 3.9893 Å, b = 3.9893 Å, c = 13.5673 Å
α = 90.00°, β = 90.00°, γ = 90.00°
With the nearest neighbours (Å) after each atom.
Element x y z (fractional)
Mo1 0.0000 0.0000 0.1330  4 Mo 2.55
Mo2 0.0000 0.0000 0.8670  4 Mo 2.55
Mo3 0.0000 0.5000 0.2500  8 Mo 2.55-2.82
Mo4 0.0000 0.5000 0.7500  8 Mo 2.55-2.82
Mo5 0.5000 0.0000 0.2500  8 Mo 2.55-2.82
Mo6 0.5000 0.0000 0.7500  8 Mo 2.55-2.82
Mo7 0.5000 0.5000 0.3670  4 Mo 2.55
Mo8 0.5000 0.5000 0.6330  4 Mo 2.55
Br1 0.0000 0.0000 0.5000  8 Mo 3.35
Br2 0.5000 0.5000 0.0000  8 Mo 3.35

---

Entry 3:
MoBr3N: relaxed, PBE-GGA.

Output
* E above lowest polymorph: 1714 meV per atom
* E_form (uncorrected): 1394.6 meV/atom
* D(E_F): 13.3 states/eV/cell

a = 5.0193 Å, b = 5.0193 Å, c = 5.0193 Å
α = 90.00°, β = 90.00°, γ = 90.00°
With the nearest neighbours (Å) after each atom.
Element x y z (fractional)
Mo1 0.0000 0.0000 0.0000  6 Br 2.51
Br1 0.0000 0.0000 0.5000  2 Mo 2.51
Br2 0.0000 0.5000 0.0000  2 Mo 2.51
Br3 0.5000 0.0000 0.0000  2 Mo 2.51
N1 0.5000 0.5000 0.5000  12 Br 3.55

---

> Number 3 is which compound?

MoBr3N